# NaCu2NiF8, relaxed, DFT PBE with a Hubbard U
data_NaCu2NiF8
_chemical_formula_sum 'Na2 Cu4 Ni2 F16'
_symmetry_space_group_name_H-M 'I -4'
_symmetry_Int_Tables_number 82
_cell_length_a 5.1353
_cell_length_b 5.1353
_cell_length_c 10.6675
_cell_angle_alpha 90.00
_cell_angle_beta 90.00
_cell_angle_gamma 90.00
loop_
_symmetry_equiv_pos_as_xyz
'x,y,z'
'y,-x,-z'
'-x,-y,z'
'-y,x,-z'
'x+1/2,y+1/2,z+1/2'
'y+1/2,-x+1/2,-z+1/2'
'-x+1/2,-y+1/2,z+1/2'
'-y+1/2,x+1/2,-z+1/2'
loop_
_atom_site_label
_atom_site_type_symbol
_atom_site_fract_x
_atom_site_fract_y
_atom_site_fract_z
Na1 Na 0.0000 0.0000 0.0000
Cu1 Cu 0.0000 0.0000 0.5000
Cu2 Cu 0.0000 0.5000 0.2500
Ni1 Ni 0.0000 0.5000 0.7500
F1 F 0.1659 0.2852 0.5786
F2 F 0.2150 0.7790 0.1859
# calculated volume	281.3	Å³ per cell
# uncorrected energy	-93.51	eV for the cell shown
# crystal system	tetragonal
# spin magnetization	0.2159	μB per atom